Model 1:
A relaxed Ce2NdPd crystal, computed with GGA-PBE.

CIF file:
```
data_Ce2NdPd
_chemical_formula_sum 'Ce2 Nd1 Pd1'
_space_group_name_H-M_alt 'P 1'
_space_group_IT_number 1
_space_group_name_Hall 'P 1'
_cell_length_a 3.699
_cell_length_b 3.699
_cell_length_c 8.065
_cell_angle_alpha 90.00
_cell_angle_beta 90.00
_cell_angle_gamma 90.00
loop_
_atom_site_label
_atom_site_type_symbol
_atom_site_fract_x
_atom_site_fract_y
_atom_site_fract_z
Nd1 Nd 0.500 0.500 0.500
Pd1 Pd 0.500 0.500 0.000
Ce1 Ce 0.000 0.000 0.805
Ce2 Ce 0.000 0.000 0.195
```

- magnetic moment (μB/f.u.) = 1.4
- space group = No. 123
- D(E_F) (states/eV/atom) = 2.5715


Model 2:
A relaxed Ce2NdPd crystal, computed with GGA-PBE.

CIF file:
```
data_Ce2NdPd
_chemical_formula_sum 'Ce2 Nd1 Pd1'
_space_group_name_H-M_alt 'P 1'
_space_group_IT_number 1
_space_group_name_Hall 'P 1'
_cell_length_a 5.074
_cell_length_b 5.074
_cell_length_c 5.412
_cell_angle_alpha 62.05
_cell_angle_beta 62.05
_cell_angle_gamma 60.00
loop_
_atom_site_label
_atom_site_type_symbol
_atom_site_fract_x
_atom_site_fract_y
_atom_site_fract_z
Nd1 Nd 0.000 0.000 0.000
Pd1 Pd 0.500 0.500 0.500
Ce1 Ce 0.752 0.752 0.743
Ce2 Ce 0.248 0.248 0.257
```

- magnetic moment (μB/f.u.) = 1.8
- space group = No. 166
- D(E_F) (states/eV/atom) = 2.8168


In order of decreasing stability: model 1, model 2.


Model 1:
A relaxed CeNdPd crystal, computed with GGA-PBE.

CIF file:
```
data_CeNdPd
_chemical_formula_sum 'Ce1 Nd1 Pd1'
_space_group_name_H-M_alt 'P 1'
_space_group_IT_number 1
_space_group_name_Hall 'P 1'
_cell_length_a 3.708
_cell_length_b 3.708
_cell_length_c 6.187
_cell_angle_alpha 107.44
_cell_angle_beta 107.44
_cell_angle_gamma 90.00
loop_
_atom_site_label
_atom_site_type_symbol
_atom_site_fract_x
_atom_site_fract_y
_atom_site_fract_z
Nd1 Nd 0.012 0.012 0.023
Ce1 Ce 0.308 0.308 0.616
Pd1 Pd 0.680 0.680 0.360
```

- magnetic moment (μB/f.u.) = 0.3
- space group = No. 107
- D(E_F) (states/eV/atom) = 1.5870


Model 2:
A relaxed CeNdPd crystal, computed with GGA-PBE.

CIF file:
```
data_CeNdPd
_chemical_formula_sum 'Ce1 Nd1 Pd1'
_space_group_name_H-M_alt 'P 1'
_space_group_IT_number 1
_space_group_name_Hall 'P 1'
_cell_length_a 3.788
_cell_length_b 4.789
_cell_length_c 4.789
_cell_angle_alpha 120.00
_cell_angle_beta 90.00
_cell_angle_gamma 90.00
loop_
_atom_site_label
_atom_site_type_symbol
_atom_site_fract_x
_atom_site_fract_y
_atom_site_fract_z
Nd1 Nd 0.655 0.667 0.333
Pd1 Pd 0.315 0.333 0.667
Ce1 Ce 0.029 0.000 0.000
```

- magnetic moment (μB/f.u.) = 0.5
- space group = No. 156
- D(E_F) (states/eV/atom) = 1.8402


Model 3:
A relaxed CeNdPd crystal, computed with GGA-PBE.

CIF file:
```
data_CeNdPd
_chemical_formula_sum 'Ce1 Nd1 Pd1'
_space_group_name_H-M_alt 'P 1'
_space_group_IT_number 1
_space_group_name_Hall 'P 1'
_cell_length_a 5.000
_cell_length_b 5.000
_cell_length_c 5.000
_cell_angle_alpha 60.00
_cell_angle_beta 60.00
_cell_angle_gamma 60.00
loop_
_atom_site_label
_atom_site_type_symbol
_atom_site_fract_x
_atom_site_fract_y
_atom_site_fract_z
Nd1 Nd 0.000 0.000 0.000
Pd1 Pd 0.250 0.250 0.250
Ce1 Ce 0.500 0.500 0.500
```

- magnetic moment (μB/f.u.) = 1.9
- space group = No. 216
- D(E_F) (states/eV/atom) = 3.1344


In order of decreasing stability: model 1, model 2, model 3.